Below is a geometry-optimized Dy7Tm12Zr structure, with properties calculated at the PBE level.

abc: 11.211 11.211 11.211
angles: 90.00 90.00 90.00
Space group Im-3m (No. 229)
Asymmetric unit:
Dy: 0.000 0.000 0.500 (multiplicity 6)
Dy: 0.250 0.250 0.250 (multiplicity 8)
Tm: 0.000 0.218 0.218 (multiplicity 24)
Zr: 0.000 0.000 0.000 (multiplicity 2)

Summary:
energy relative to the lowest polymorph listed for this composition	530	meV/atom
total DFT energy (no corrections)	-3.923	eV per atom
magnetization	0.0	μB/f.u.